1.
Entry from Alexandria via LeMat-Bulk: MnB2H8 after structural relaxation (PBEsol).

Cell: 9.9888 9.9888 10.6594 Å, 90.00 90.00 120.00°
Space group P3_112 (No. 151)
Symmetry-distinct sites (fractional):
Mn 0.0238 0.4366 0.2902
Mn 0.2009 0.1004 0.5000
B 0.0413 0.0825 0.6667
B 0.0465 0.5232 0.5000
B 0.2049 0.4098 0.1667
B 0.3765 0.1882 0.0000
B 0.3773 0.0091 0.4835
H 0.0056 0.1002 0.9888
H 0.0172 0.3144 0.9122
H 0.0586 0.1667 0.5757
H 0.0648 0.3244 0.1495
H 0.1166 0.4525 0.7655
H 0.1331 0.4791 0.4567
H 0.2416 0.4959 0.2599
H 0.2908 0.0616 0.0489
H 0.3661 0.0951 0.4053
H 0.4621 0.1886 0.9154
H 0.4639 0.0394 0.2429
H 0.5127 0.0764 0.5211

- ΔE to the lowest computed polymorph: 0 meV/atom
- DFT total energy: -449.59 eV per cell

=====

2.
Entry from Alexandria via LeMat-Bulk: CrReAu2 after structural relaxation (PBEsol).

Cell: 2.795 3.742 5.787 Å, 90.00 92.82 90.00°
Space group Pm (No. 6)
Symmetry-distinct sites (fractional):
Cr 0.000 0.000 0.000
Re 0.362 0.500 0.196
Au 0.444 0.500 0.736
Au 0.919 0.000 0.466

- ΔE to the lowest computed polymorph: 40 meV/atom
- DFT total energy: -30.16 eV per cell
- Energy of formation: 0.32 eV/atom
- Fermi-level density of states: 3.064 states/eV/f.u.

=====

3.
Entry from Alexandria via LeMat-Bulk: Rb2InBi after structural relaxation (PBEsol).

Cell: 8.523 8.523 8.523 Å, 90.00 90.00 90.00°
Space group Fm-3m (No. 225)
Symmetry-distinct sites (fractional):
Rb 0.250 0.250 0.250
In 0.000 0.000 0.000
Bi 0.000 0.000 0.500

- DFT total energy: -38.45 eV per cell
- Energy of formation: -0.07 eV/atom
- Fermi-level density of states: 0.007 states/eV/f.u.

=====

4.
Entry from Alexandria via LeMat-Bulk: Si4P4Ru after structural relaxation (PBEsol).

Cell: 4.924 5.608 6.152 Å, 85.59 68.31 70.80°
Space group P1 (No. 1)
Symmetry-distinct sites (fractional):
Si 0.000 0.000 0.000
Si 0.118 0.251 0.450
Si 0.432 0.432 0.794
Si 0.606 0.629 0.259
P 0.101 0.881 0.329
P 0.387 0.065 0.689
P 0.526 0.297 0.132
P 0.920 0.670 0.886
Ru 0.762 0.657 0.568

- E_form (uncorrected): -0.39 eV/atom
- DFT total energy: -59.86 eV per cell

=====

5.
Entry from Alexandria via LeMat-Bulk: Ba3CdIr after structural relaxation (PBEsol).

Cell: 6.121 6.121 6.121 Å, 90.00 90.00 90.00°
Space group Pm-3m (No. 221)
Symmetry-distinct sites (fractional):
Ba 0.000 0.000 0.500
Cd 0.000 0.000 0.000
Ir 0.500 0.500 0.500

- DFT total energy: -12.79 eV per cell
- Energy of formation: 0.94 eV/atom
- Fermi-level density of states: 9.427 states/eV/f.u.

=====

6.
Entry from Alexandria via LeMat-Bulk: CdSiRu2 after structural relaxation (PBEsol).

Cell: 2.859 3.703 5.648 Å, 90.00 102.20 90.00°
Space group P2/m (No. 10)
Symmetry-distinct sites (fractional):
Cd 0.000 0.000 0.000
Si 0.000 0.000 0.500
Ru 0.361 0.500 0.713

- E_form (uncorrected): -0.09 eV/atom
- DFT total energy: -27.66 eV per cell
- Fermi-level density of states: 1.734 states/eV/f.u.

=====

7.
Entry from Alexandria via LeMat-Bulk: ZrAl2Co2 after structural relaxation (PBEsol).

Cell: 3.697 3.697 10.541 Å, 90.00 90.00 90.00°
Space group I4/mmm (No. 139)
Symmetry-distinct sites (fractional):
Zr 0.000 0.000 0.000
Al 0.000 0.500 0.250
Co 0.000 0.000 0.398

- ΔE to the lowest computed polymorph: 65 meV/atom
- DFT total energy: -69.03 eV per cell
- Energy of formation: -0.35 eV/atom
- Fermi-level density of states: 3.959 states/eV/f.u.

=====

8.
Entry from Alexandria via LeMat-Bulk: Sb8Ru after structural relaxation (PBEsol).

Cell: 11.837 11.837 3.247 Å, 90.00 90.00 90.00°
Space group I4/mmm (No. 139)
Symmetry-distinct sites (fractional):
Sb 0.000 0.337 0.000
Sb 0.135 0.135 0.500
Ru 0.000 0.000 0.000

- E_form (uncorrected): 0.14 eV/atom
- DFT total energy: -90.76 eV per cell
- Fermi-level density of states: 6.353 states/eV/f.u.

=====

9.
Entry from Alexandria via LeMat-Bulk: WC2 after structural relaxation (PBEsol).

Cell: 10.599 2.748 3.741 Å, 90.00 96.23 90.00°
Space group C2/m (No. 12)
Symmetry-distinct sites (fractional):
W 0.122 0.000 0.052
C 0.004 0.500 0.695
C 0.231 0.000 0.592

- ΔE to the lowest computed polymorph: 0 meV/atom
- DFT total energy: -126.34 eV per cell
- Energy of formation: 0.50 eV/atom
- Fermi-level density of states: 0.762 states/eV/f.u.

=====

10.
Entry from Alexandria via LeMat-Bulk: Li2MoW after structural relaxation (PBEsol).

Cell: 2.504 4.270 5.824 Å, 90.00 90.00 90.00°
Space group Pmm2 (No. 25)
Symmetry-distinct sites (fractional):
Li 0.000 0.000 0.000
Li 0.500 0.500 0.224
Mo 0.000 0.000 0.510
W 0.500 0.500 0.718

- ΔE to the lowest computed polymorph: 0 meV/atom
- DFT total energy: -27.55 eV per cell
- Energy of formation: 0.49 eV/atom
- Fermi-level density of states: 2.732 states/eV/f.u.

=====

Question: Number 2 is which compound?
Answer: CrReAu2